Ba2AgIrS6 after structural relaxation, computed with GGA-PBE.

Values from the calculation:
E = -187.46 eV/cell

The structure in CIF format:
```
data_Ba2AgIrS6
_cell_length_a 9.799
_cell_length_b 9.799
_cell_length_c 9.799
_cell_angle_alpha 90.00
_cell_angle_beta 90.00
_cell_angle_gamma 90.00
_symmetry_space_group_name_H-M 'F m -3 m'
_symmetry_Int_Tables_number 225
_symmetry_space_group_name_Hall '-F 4 2 3'
loop_
_atom_site_label
_atom_site_type_symbol
_atom_site_fract_x
_atom_site_fract_y
_atom_site_fract_z
_atom_site_occupancy
Ba1 Ba 0.250 0.250 0.250 1
Ag1 Ag 0.000 0.000 0.000 1
Ir1 Ir 0.000 0.000 0.500 1
S1 S 0.000 0.000 0.258 1
```



Ba3LaAg4 after structural relaxation, computed with GGA-PBE.

Values from the calculation:
E = -23.91 eV/cell

The structure in CIF format:
```
data_Ba3LaAg4
_cell_length_a 6.415
_cell_length_b 5.071
_cell_length_c 8.217
_cell_angle_alpha 90.00
_cell_angle_beta 92.54
_cell_angle_gamma 90.00
_symmetry_space_group_name_H-M 'P 1 m 1'
_symmetry_Int_Tables_number 6
_symmetry_space_group_name_Hall 'P -2y'
loop_
_atom_site_label
_atom_site_type_symbol
_atom_site_fract_x
_atom_site_fract_y
_atom_site_fract_z
_atom_site_occupancy
Ba1 Ba 0.000 0.000 0.000 1
Ba2 Ba 0.225 0.000 0.496 1
Ba3 Ba 0.725 0.500 0.632 1
La1 La 0.501 0.500 0.137 1
Ag1 Ag 0.250 0.500 0.794 1
Ag2 Ag 0.490 0.000 0.878 1
Ag3 Ag 0.712 0.000 0.331 1
Ag4 Ag 0.990 0.500 0.272 1
```



BaLaAg after structural relaxation, computed with GGA-PBE.

Values from the calculation:
E above lowest polymorph = 0 meV per atom
E = -34.49 eV/cell

The structure in CIF format:
```
data_BaLaAg
_cell_length_a 7.405
_cell_length_b 7.405
_cell_length_c 7.405
_cell_angle_alpha 90.00
_cell_angle_beta 90.00
_cell_angle_gamma 90.00
_symmetry_space_group_name_H-M 'F -4 3 m'
_symmetry_Int_Tables_number 216
_symmetry_space_group_name_Hall 'F -4 2 3'
loop_
_atom_site_label
_atom_site_type_symbol
_atom_site_fract_x
_atom_site_fract_y
_atom_site_fract_z
_atom_site_occupancy
Ba1 Ba 0.000 0.000 0.000 1
La1 La 0.250 0.250 0.750 1
Ag1 Ag 0.000 0.000 0.500 1
```



Ba2LaTaAg2O8 after structural relaxation, computed with GGA-PBE.

Values from the calculation:
E = -96.56 eV/cell

The structure in CIF format:
```
data_Ba2LaTaAg2O8
_cell_length_a 4.134
_cell_length_b 4.134
_cell_length_c 12.066
_cell_angle_alpha 90.00
_cell_angle_beta 90.00
_cell_angle_gamma 90.00
_symmetry_space_group_name_H-M 'P 4/m m m'
_symmetry_Int_Tables_number 123
_symmetry_space_group_name_Hall '-P 4 2'
loop_
_atom_site_label
_atom_site_type_symbol
_atom_site_fract_x
_atom_site_fract_y
_atom_site_fract_z
_atom_site_occupancy
Ba1 Ba 0.000 0.000 0.191 1
La1 La 0.000 0.000 0.500 1
Ta1 Ta 0.500 0.500 0.000 1
Ag1 Ag 0.500 0.500 0.366 1
O1 O 0.000 0.500 0.000 1
O2 O 0.000 0.500 0.374 1
O3 O 0.500 0.500 0.161 1
```



BaLaAgSe2S after structural relaxation, computed with GGA-PBE.

Values from the calculation:
E = -122.62 eV/cell

The structure in CIF format:
```
data_BaLaAgSe2S
_cell_length_a 4.375
_cell_length_b 14.214
_cell_length_c 10.905
_cell_angle_alpha 90.00
_cell_angle_beta 90.00
_cell_angle_gamma 90.00
_symmetry_space_group_name_H-M 'C m c m'
_symmetry_Int_Tables_number 63
_symmetry_space_group_name_Hall '-C 2c 2'
loop_
_atom_site_label
_atom_site_type_symbol
_atom_site_fract_x
_atom_site_fract_y
_atom_site_fract_z
_atom_site_occupancy
Ba1 Ba 0.000 0.239 0.250 1
La1 La 0.000 0.500 0.000 1
Ag1 Ag 0.000 0.028 0.750 1
Se1 Se 0.000 0.142 0.558 1
S1 S 0.000 0.426 0.750 1
```



BaLaAgSeS2 after structural relaxation, computed with GGA-PBE.

Values from the calculation:
E = -125.08 eV/cell

The structure in CIF format:
```
data_BaLaAgSeS2
_cell_length_a 4.286
_cell_length_b 14.171
_cell_length_c 11.119
_cell_angle_alpha 90.00
_cell_angle_beta 90.00
_cell_angle_gamma 90.00
_symmetry_space_group_name_H-M 'C m c m'
_symmetry_Int_Tables_number 63
_symmetry_space_group_name_Hall '-C 2c 2'
loop_
_atom_site_label
_atom_site_type_symbol
_atom_site_fract_x
_atom_site_fract_y
_atom_site_fract_z
_atom_site_occupancy
Ba1 Ba 0.000 0.239 0.250 1
La1 La 0.000 0.000 0.000 1
Ag1 Ag 0.000 0.475 0.750 1
Se1 Se 0.000 0.089 0.750 1
S1 S 0.000 0.369 0.566 1
```